DFT (SCAN) results for BaThP2O8 at its PBEsol-relaxed geometry.

```
24
Lattice="5.439 0.000 0.000 -2.719 6.344 0.000 0.000 -1.919 9.325" Properties=species:S:1:pos:R:3 pbc="T T T"
P 3.993 -0.005 5.672
P 1.274 3.470 8.316
O 0.326 1.570 1.900
O 1.026 -0.433 3.837
O 1.694 4.857 5.489
O 0.116 4.322 2.994
O 3.924 0.731 4.311
O -1.205 3.693 5.014
O -0.116 3.363 7.657
O 1.514 -0.228 8.974
Ba -1.360 3.172 0.000
O 1.205 4.653 0.352
Ba 1.360 2.212 4.663
O -0.326 0.610 6.563
O 2.603 0.102 6.331
O 4.413 -1.392 8.499
Th 4.485 -0.480 2.331
P 1.445 0.955 1.010
Th 0.954 -1.439 6.994
O 2.836 1.062 1.669
O 3.045 3.814 2.763
O 2.393 2.855 7.426
O -1.694 5.817 0.826
P -1.274 4.429 3.653
```

Calculated values
Magnetization in μB/f.u.: 0.0
ΔE_f (raw) in kcal/mol of atoms: -75.1

=====

DFT (SCAN) results for BaTiPO2 at its PBEsol-relaxed geometry.

```
5
Lattice="4.240 0.000 0.000 0.000 4.240 0.000 0.000 0.000 6.376" Properties=species:S:1:pos:R:3 pbc="T T T"
O 0.000 2.120 0.000
O 2.120 0.000 0.000
P 0.000 0.000 3.188
Ba 0.000 0.000 0.000
Ti 2.120 2.120 3.188
```

Calculated values
Magnetization in μB/f.u.: 1.1
ΔE_f (raw) in kcal/mol of atoms: 0.6

=====

DFT (SCAN) results for BaTlP2O at its PBEsol-relaxed geometry.

```
5
Lattice="4.495 0.000 0.000 0.000 5.818 0.000 0.000 0.000 5.818" Properties=species:S:1:pos:R:3 pbc="T T T"
P 0.000 0.000 2.909
O 2.247 0.000 0.000
Ba 0.000 0.000 0.000
Tl 2.247 2.909 2.909
P 0.000 2.909 0.000
```

Calculated values
Magnetization in μB/f.u.: 3.2
ΔE_f (raw) in kcal/mol of atoms: 12.6

=====

DFT (SCAN) results for BaVPO6 at its PBEsol-relaxed geometry.

```
36
Lattice="-0.398 -4.855 -2.931 8.542 0.427 -1.521 1.748 -5.193 8.364" Properties=species:S:1:pos:R:3 pbc="T T T"
Ba 8.660 -7.348 1.896
O 2.027 -3.597 4.319
O 9.763 -7.759 4.281
O 7.250 -4.868 1.685
P 2.804 -4.790 3.792
V 7.723 -3.240 -2.564
O 3.780 -7.464 6.282
O 6.112 -2.157 -2.370
O 6.673 -6.235 4.027
O 3.013 -4.510 -2.431
O 2.828 -4.908 6.722
V 4.015 -5.127 0.892
O 7.866 -6.024 -0.407
O 5.037 -3.538 1.913
Ba 4.592 -8.167 3.631
V 5.877 -4.494 3.020
O 3.201 -6.139 -0.097
P 7.547 -5.978 5.289
O 1.013 -4.301 -0.858
O 4.855 -6.083 1.999
O 4.326 -4.696 4.181
P 7.089 -4.831 0.120
O 5.566 -4.925 -0.269
O 7.587 -3.458 -0.416
Ba 1.233 -2.273 2.016
P 2.346 -3.643 -1.377
O 6.691 -3.481 4.009
O 8.880 -5.320 4.770
O 0.130 -1.862 -0.369
O 6.880 -5.111 6.343
O 2.305 -6.163 4.328
Ba 5.300 -1.454 0.281
V 2.169 -6.381 6.476
O 2.643 -4.753 2.227
O 7.064 -4.713 -2.810
O 3.220 -3.386 -0.116
```

Calculated values
Magnetization in μB/f.u.: 0.0
ΔE_f (raw) in kcal/mol of atoms: -65.9

=====

DFT (SCAN) results for BaPWO2 at its PBEsol-relaxed geometry.

```
5
Lattice="4.118 0.000 0.000 0.000 4.118 0.000 0.000 0.000 4.755" Properties=species:S:1:pos:R:3 pbc="T T T"
O 2.059 0.000 0.000
P 0.000 0.000 2.378
W 0.000 0.000 0.000
Ba 2.059 2.059 2.378
O 0.000 2.059 0.000
```

Calculated values
Magnetization in μB/f.u.: 0.0
ΔE_f (raw) in kcal/mol of atoms: -35.2

=====

DFT (SCAN) results for BaYP2O at its PBEsol-relaxed geometry.

```
5
Lattice="4.347 0.000 0.000 0.000 5.385 0.000 0.000 0.000 5.385" Properties=species:S:1:pos:R:3 pbc="T T T"
O 2.174 0.000 0.000
P 0.000 2.692 0.000
Ba 0.000 0.000 0.000
Y 2.174 2.692 2.692
P 0.000 0.000 2.692
```

Calculated values
Magnetization in μB/f.u.: 0.0
ΔE_f (raw) in kcal/mol of atoms: 0.6

=====

DFT (SCAN) results for BaZnPO2 at its PBEsol-relaxed geometry.

```
5
Lattice="4.278 0.000 0.000 0.000 4.278 0.000 0.000 0.000 6.594" Properties=species:S:1:pos:R:3 pbc="T T T"
O 2.139 0.000 0.000
Zn 2.139 2.139 3.297
Ba 0.000 0.000 0.000
O 0.000 2.139 0.000
P 0.000 0.000 3.297
```

Calculated values
Magnetization in μB/f.u.: 1.2
ΔE_f (raw) in kcal/mol of atoms: 6.3

=====

DFT (SCAN) results for Ba2Zn3P10O30 at its PBEsol-relaxed geometry.

```
90
Lattice="-3.032 3.497 -2.709 -7.021 -7.851 -2.278 -8.444 7.116 18.639" Properties=species:S:1:pos:R:3 pbc="T T T"
O -6.887 1.078 1.821
Zn -9.056 -2.173 1.451
P -17.001 3.992 13.727
O -8.230 6.938 8.064
P -12.169 1.793 5.479
O -8.007 0.846 5.350
O -6.099 0.084 6.877
O -10.231 9.152 13.262
O -8.511 3.133 11.490
O -5.004 3.350 2.645
O -9.643 -2.225 -0.615
O -7.504 -1.094 0.575
O -5.585 0.672 4.518
O -16.084 0.876 13.222
P -2.357 0.989 1.629
O -4.779 -3.706 0.053
Zn -9.249 1.381 6.826
O -5.435 -0.859 -1.942
O -11.817 8.451 16.075
O -6.413 4.863 4.062
Zn -5.304 1.475 2.805
O -9.986 -0.372 2.162
O -10.807 1.151 5.478
O -11.611 1.683 11.831
O -11.660 4.187 8.452
O -3.634 0.674 2.335
O -12.398 2.678 6.775
P -1.496 -1.231 -0.075
Ba -6.959 -3.086 -1.489
O -13.494 -0.588 11.007
O -12.084 -2.102 9.590
O -8.576 -4.031 -3.711
O -10.383 6.712 12.710
Zn -13.193 1.287 10.847
O -8.855 4.986 14.267
O -12.912 2.089 9.134
P -7.090 -2.575 4.126
O -5.887 -2.450 3.072
O -10.267 -4.176 5.588
P -6.681 0.149 5.384
O -5.320 2.213 7.996
P -11.052 2.350 13.043
O -9.532 -0.848 7.022
O -2.879 -2.043 -0.232
P -6.486 0.198 -2.099
O -8.115 -3.950 0.942
P -6.328 0.969 8.173
O -15.618 4.805 13.884
O -11.812 1.803 14.327
Ba -10.818 -1.646 4.690
O -6.680 -5.690 -2.423
O -10.912 -2.901 2.055
P -7.941 -5.324 1.528
O -13.718 6.468 13.599
O -10.122 5.028 10.243
O -12.610 5.212 10.580
O -13.177 0.549 5.656
O -13.062 3.621 15.594
O -9.069 -5.536 2.650
O -14.864 2.088 11.317
O -7.586 5.663 11.597
P -11.816 2.612 8.268
O -6.248 5.047 6.594
O -1.666 -0.413 1.274
Zn -1.516 1.749 -1.354
P -6.737 5.768 5.374
O -2.413 1.885 0.430
O -10.993 3.855 13.077
O -8.965 3.609 6.630
Ba -11.539 5.848 15.141
O -8.375 -2.266 3.409
P -7.445 0.412 0.609
Zn -9.442 4.935 12.201
O -6.686 0.959 -0.675
P -13.495 -1.898 10.293
P -11.407 5.336 9.526
O -7.690 1.610 8.174
O -12.250 -2.286 7.058
O -9.428 8.297 11.002
O -9.922 6.793 17.363
P -11.760 -3.006 8.278
P -12.011 2.563 15.751
O -8.266 -6.390 0.390
Ba -7.679 4.408 8.961
P -10.556 8.086 12.124
O -6.837 -1.426 5.200
O -10.490 1.915 8.302
O -16.831 3.175 12.378
P -16.140 1.772 12.023
P -5.002 4.659 3.359
```

Calculated values
Magnetization in μB/f.u.: 0.0
ΔE_f (raw) in kcal/mol of atoms: -57.1

=====

Q: Look up the ΔE_f (raw) of the fourth one.
A: -65.9 kcal/mol of atoms